[1]
CePuIrPt | PBE | relaxed

Structure (extended XYZ):
```
4
Lattice="4.9508 0.0000 0.0000 2.4754 4.2875 0.0000 2.4754 1.4292 4.0423" Properties=species:S:1:pos:R:3 pbc="T T T"
Pt 7.4262 4.2875 3.0317
Ir 2.4754 1.4292 1.0106
Ce 4.9508 2.8583 2.0211
Pu 0.0000 0.0000 0.0000
```

Values from the calculation:
Raw total energy   -38.01 eV per formula unit
Energy above the most stable polymorph in this dataset   90 meV/atom
SG   No. 216
Formation enthalpy at 0 K   -16.39 kcal/mol of atoms

***

[2]
LaSb2 | PBE | relaxed

Structure (extended XYZ):
```
9
Lattice="4.5524 -7.8850 0.0000 4.5524 7.8850 0.0000 0.0000 0.0000 4.1188" Properties=species:S:1:pos:R:3 pbc="T T T"
Sb 2.4234 4.1975 2.0594
Sb 1.2823 2.2211 0.0000
Sb 2.4234 -4.1975 2.0594
Sb 4.2580 0.0000 2.0594
Sb 6.5401 0.0000 0.0000
Sb 1.2823 -2.2211 0.0000
La 4.5524 2.6283 0.0000
La 4.5524 -2.6283 0.0000
La 0.0000 0.0000 2.0594
```

Values from the calculation:
Raw total energy   -15.00 eV per formula unit
SG   No. 189

***

[3]
Rb3RhS3 | PBE | relaxed

Structure (extended XYZ):
```
14
Lattice="-2.7338 5.5096 5.2935 1.5082 -7.2690 3.2768 7.2707 2.3763 0.2361" Properties=species:S:1:pos:R:3 pbc="T T T"
Rb 1.6636 4.4020 5.0493
Rb 4.3703 0.9053 3.4566
Rb 1.6747 -0.2884 5.3499
Rb -1.7295 2.4841 4.8161
Rb 4.3814 -3.7851 3.7572
Rb 0.5038 -4.2436 3.7543
S 3.7858 2.2888 6.4366
S 6.1808 1.9124 0.8831
S 1.0614 1.9363 2.9393
S -0.1358 -1.2955 7.9233
S 4.9836 -1.3194 5.8672
S 2.2592 -1.6719 2.3699
Rh 5.1219 0.5590 7.2316
Rh 0.9231 0.0579 1.5749
```

Values from the calculation:
Raw total energy   -27.82 eV per formula unit
SG   No. 12

***

[4]
AlTeOs2 | PBE | relaxed

Structure (extended XYZ):
```
4
Lattice="4.5310 0.0022 -0.0019 3.5217 2.8508 -0.0019 0.9931 0.3519 4.9973" Properties=species:S:1:pos:R:3 pbc="T T T"
Os 4.5881 1.6256 2.4550
Os 7.9874 2.8300 0.0380
Al 2.2614 0.8012 1.2484
Te 6.7843 2.4037 3.7452
```

Values from the calculation:
Raw total energy   -27.95 eV per formula unit
Energy above the most stable polymorph in this dataset   80 meV/atom
SG   No. 12